First-principles (PBE-GGA) data for PmZr2Zn6 after structural relaxation, as listed in the Alexandria database.

Computed properties:
Space-group type: No. 191
Final energy (Ry per atom): -0.261
E_form (eV per atom): -0.281
Total magnetization (μB per cell): 0.00

```
9
Lattice="7.696 0.000 0.000 -3.848 6.665 0.000 0.000 0.000 3.247" Properties=species:S:1:pos:R:3 pbc="T T T"
Pm 0.000 0.000 0.000
Zr 0.000 4.443 0.000
Zr 3.848 2.222 0.000
Zn -1.311 2.271 1.624
Zn -2.537 4.394 1.624
Zn 2.623 0.000 1.624
Zn 1.311 2.271 1.624
Zn 5.074 0.000 1.624
Zn 2.537 4.394 1.624
```

---

First-principles (PBE-GGA) data for CoSbBr2 after structural relaxation, as listed in the Alexandria database.

Computed properties:
Space-group type: No. 160
Final energy (Ry per atom): -0.278
Uncorrected formation energy (kJ/mol of atoms): -13.0
Total magnetization (μB per cell): 0.00

```
4
Lattice="1.871 1.080 8.535 -1.871 1.080 8.535 0.000 -2.161 8.535" Properties=species:S:1:pos:R:3 pbc="T T T"
Co 0.000 0.000 0.000
Sb 0.000 0.000 7.335
Br 0.000 0.000 13.703
Br 0.000 0.000 18.452
```

---

First-principles (PBE-GGA) data for Tb2BeGaNi6 after structural relaxation, as listed in the Alexandria database.

Computed properties:
Space-group type: No. 225
Final energy (Ry per atom): -0.385
E_form (eV per atom): -0.162
Total magnetization (μB per cell): 0.00

```
10
Lattice="0.000 4.243 4.243 4.243 0.000 4.243 4.243 4.243 0.000" Properties=species:S:1:pos:R:3 pbc="T T T"
Tb 2.122 2.122 2.122
Tb 6.365 6.365 6.365
Be 0.000 0.000 0.000
Ga 4.243 4.243 4.243
Ni 4.243 4.243 1.975
Ni 4.243 1.975 4.243
Ni 6.512 4.243 4.243
Ni 1.975 4.243 4.243
Ni 4.243 6.512 4.243
Ni 4.243 4.243 6.512
```

---

First-principles (PBE-GGA) data for Li2MoRh after structural relaxation, as listed in the Alexandria database.

Computed properties:
Space-group type: No. 119
Final energy (Ry per atom): -0.399
E_form (eV per atom): 0.077
Total magnetization (μB per cell): 0.00

```
4
Lattice="-2.124 2.124 3.014 2.124 -2.124 3.014 2.124 2.124 -3.014" Properties=species:S:1:pos:R:3 pbc="T T T"
Li 0.000 0.000 0.000
Li 0.000 2.124 1.507
Mo 2.124 0.000 1.507
Rh 0.000 0.000 3.014
```

---

First-principles (PBE-GGA) data for Ba3AlGa3 after structural relaxation, as listed in the Alexandria database.

Computed properties:
Space-group type: No. 160
Final energy (Ry per atom): -0.210
E_form (eV per atom): -0.195
Total magnetization (μB per cell): 0.00

```
7
Lattice="5.480 3.164 2.282 -5.480 3.164 2.282 0.000 -6.328 2.282" Properties=species:S:1:pos:R:3 pbc="T T T"
Ba 0.000 -2.543 2.282
Ba -2.202 1.271 2.282
Ba 2.202 1.271 2.282
Al 0.000 0.000 6.292
Ga -3.256 -1.880 3.389
Ga 3.256 -1.880 3.389
Ga 0.000 3.760 3.389
```

---

First-principles (PBE-GGA) data for Tl3Se2 after structural relaxation, as listed in the Alexandria database.

Computed properties:
Space-group type: No. 167
Final energy (Ry per atom): -0.226
Uncorrected formation energy (kJ/mol of atoms): -25.8
Total magnetization (μB per cell): 0.00

```
10
Lattice="4.018 2.320 6.320 -4.018 2.320 6.320 0.000 -4.640 6.320" Properties=species:S:1:pos:R:3 pbc="T T T"
Tl -2.890 -0.366 7.900
Tl -1.128 -2.686 11.061
Tl 1.762 -2.320 7.900
Tl -1.762 2.320 11.061
Tl 1.128 2.686 7.900
Tl 2.890 0.366 11.061
Se 0.000 0.000 2.509
Se 0.000 0.000 6.972
Se 0.000 0.000 11.989
Se 0.000 0.000 16.452
```